[1]
A relaxed LaHgBr2 crystal, computed with PBE-GGA.

```
LaHgBr2
1.0
-1.989 2.839 6.971
1.989 -2.839 6.971
1.989 2.839 -6.971
La Hg Br
1 1 2
direct
0.000 0.000 0.000
0.500 0.500 0.000
0.160 0.660 0.500
0.840 0.340 0.500
```

## Properties
space-group type	Immm
formation energy without anion corrections	-1.21	eV/atom

---

[2]
A relaxed Er2ThOs2 crystal, computed with PBE-GGA.

```
Er2ThOs2
1.0
4.756 0.000 0.000
-2.378 4.118 0.000
0.000 0.000 6.080
Er Th Os
2 1 2
direct
0.333 0.667 0.350
0.667 0.333 0.650
0.000 0.000 0.000
0.333 0.667 0.841
0.667 0.333 0.159
```

## Properties
E_form	-284	meV/atom
space-group type	P-3m1

---

[3]
A relaxed Ag8Sn2Pd crystal, computed with PBE-GGA.

```
Ag8Sn2Pd
1.0
3.721 -7.030 0.000
3.721 7.030 0.000
-1.741 0.000 4.246
Ag Sn Pd
8 2 1
direct
0.101 0.304 0.624
0.195 0.805 0.000
0.304 0.101 0.624
0.392 0.392 0.192
0.608 0.608 0.808
0.696 0.899 0.376
0.805 0.195 0.000
0.899 0.696 0.376
0.305 0.695 0.500
0.695 0.305 0.500
0.000 0.000 0.000
```

## Properties
E_form	102	meV/atom
space-group type	C2/m

---

[4]
A relaxed YPbBr2 crystal, computed with PBE-GGA.

```
YPbBr2
1.0
-1.827 2.590 6.229
1.827 -2.590 6.229
1.827 2.590 -6.229
Y Pb Br
1 1 2
direct
0.000 0.000 0.000
0.764 0.264 0.500
0.181 0.681 0.500
0.462 0.462 0.000
```

## Properties
space-group type	Imm2
formation energy without anion corrections	-0.82	eV/atom

---

[5]
A relaxed Mn2V2Hg crystal, computed with PBE-GGA.

```
Mn2V2Hg
1.0
-1.945 1.945 4.906
1.945 -1.945 4.906
1.945 1.945 -4.906
Mn V Hg
2 2 1
direct
0.115 0.115 0.000
0.885 0.885 0.000
0.250 0.750 0.500
0.750 0.250 0.500
0.500 0.500 0.000
```

## Properties
E_form	423	meV/atom
space-group type	I4/mmm

---

[6]
A relaxed PrNdSm14 crystal, computed with PBE-GGA.

```
PrNdSm14
1.0
11.768 0.000 0.000
0.000 3.654 6.322
0.000 -3.654 6.322
Pr Nd Sm
1 1 14
direct
0.000 0.000 0.000
0.000 0.500 0.500
0.000 0.000 0.500
0.000 0.500 0.000
0.251 0.167 0.167
0.251 0.667 0.667
0.252 0.167 0.667
0.252 0.667 0.167
0.500 0.334 0.334
0.500 0.334 0.834
0.500 0.834 0.334
0.500 0.834 0.834
0.748 0.167 0.667
0.748 0.667 0.167
0.749 0.167 0.167
0.749 0.667 0.667
```

## Properties
E_form	2	meV/atom
space-group type	Amm2

---

[7]
A relaxed LaTl2Ga2 crystal, computed with PBE-GGA.

```
LaTl2Ga2
1.0
8.228 0.000 0.000
0.000 8.228 0.000
0.000 0.000 3.855
La Tl Ga
2 4 4
direct
0.000 0.000 0.000
0.500 0.500 0.000
0.174 0.326 0.500
0.326 0.826 0.500
0.674 0.174 0.500
0.826 0.674 0.500
0.119 0.619 0.000
0.381 0.119 0.000
0.619 0.881 0.000
0.881 0.381 0.000
```

## Properties
E_form	-182	meV/atom
space-group type	P4/mbm

---

[8]
A relaxed Nd2Al4NiPd3 crystal, computed with PBE-GGA.

```
Nd2Al4NiPd3
1.0
4.384 0.000 0.000
0.000 4.384 0.000
0.000 0.000 9.908
Nd Al Ni Pd
2 4 1 3
direct
0.000 0.500 0.242
0.500 0.000 0.758
0.000 0.000 0.500
0.000 0.500 0.883
0.500 0.000 0.117
0.500 0.500 0.500
0.500 0.500 0.000
0.000 0.000 0.000
0.000 0.500 0.631
0.500 0.000 0.369
```

## Properties
E_form	-771	meV/atom
space-group type	P-4m2

---

[9]
A relaxed LiPm2Au6 crystal, computed with PBE-GGA.

```
LiPm2Au6
1.0
6.287 0.000 0.000
-3.144 5.445 0.000
0.000 0.000 5.484
Li Pm Au
1 2 6
direct
0.000 0.000 0.000
0.333 0.667 0.181
0.667 0.333 0.819
0.177 0.354 0.698
0.177 0.823 0.698
0.354 0.177 0.302
0.646 0.823 0.698
0.823 0.177 0.302
0.823 0.646 0.302
```

## Properties
E_form	-611	meV/atom
space-group type	P-3m1

---

[10]
A relaxed YZnFe2 crystal, computed with PBE-GGA.

```
YZnFe2
1.0
3.150 0.000 0.000
0.000 3.176 0.000
0.000 0.000 6.654
Y Zn Fe
1 1 2
direct
0.000 0.000 0.000
0.500 0.500 0.326
0.000 0.000 0.541
0.500 0.500 0.709
```

## Properties
E_form	41	meV/atom
space-group type	Pmm2

---

[11]
A relaxed RbTcI2O crystal, computed with PBE-GGA.

```
RbTcI2O
1.0
5.921 0.000 0.000
0.000 5.921 0.000
0.000 0.000 3.834
Rb Tc I O
1 1 2 1
direct
0.000 0.000 0.000
0.500 0.500 0.500
0.000 0.500 0.500
0.500 0.000 0.500
0.500 0.500 0.000
```

## Properties
space-group type	P4/mmm
formation energy without anion corrections	-0.71	eV/atom

---

[12]
A relaxed SiIrN crystal, computed with PBE-GGA.

```
SiIrN
1.0
-1.343 2.340 6.724
1.343 -2.340 6.724
1.343 2.340 -6.724
Si Ir N
2 2 2
direct
0.094 0.094 0.000
0.906 0.906 0.000
0.237 0.737 0.500
0.763 0.263 0.500
0.184 0.500 0.684
0.816 0.500 0.316
```

## Properties
space-group type	Immm
formation energy without anion corrections	0.50	eV/atom